The following is a DFT calculation (SCAN) of a PBEsol-optimized structure of KBiF6.

Lattice parameters (Å, degrees): 8.983 8.983 8.983 109.47 109.47 109.47
Fractional positions:
K: 0.000 0.000 0.500
K: 0.000 0.500 0.000
K: 0.500 0.000 0.000
K: 0.500 0.500 0.500
Bi: 0.000 0.000 0.000
Bi: 0.000 0.500 0.500
Bi: 0.500 0.000 0.500
Bi: 0.500 0.500 0.000
F: 0.036 0.588 0.327
F: 0.052 0.261 0.088
F: 0.088 0.052 0.261
F: 0.173 0.761 0.709
F: 0.209 0.448 0.536
F: 0.239 0.291 0.827
F: 0.261 0.088 0.052
F: 0.291 0.827 0.239
F: 0.327 0.036 0.588
F: 0.412 0.673 0.964
F: 0.448 0.536 0.209
F: 0.464 0.791 0.552
F: 0.536 0.209 0.448
F: 0.552 0.464 0.791
F: 0.588 0.327 0.036
F: 0.673 0.964 0.412
F: 0.709 0.173 0.761
F: 0.739 0.912 0.948
F: 0.761 0.709 0.173
F: 0.791 0.552 0.464
F: 0.827 0.239 0.291
F: 0.912 0.948 0.739
F: 0.948 0.739 0.912
F: 0.964 0.412 0.673

Computed properties:
Calculated total energy   -15.73 eV per atom

***

The following is a DFT calculation (SCAN) of a PBEsol-optimized structure of Sc2SF.

Lattice parameters (Å, degrees): 7.234 7.234 7.234 28.33 28.33 28.33
Fractional positions:
Sc: 0.097 0.097 0.097
Sc: 0.903 0.903 0.903
S: 0.500 0.500 0.500
F: 0.000 0.000 0.000

Computed properties:
Calculated total energy   -12.59 eV per atom

***

The following is a DFT calculation (SCAN) of a PBEsol-optimized structure of LaSb2Te2.

Lattice parameters (Å, degrees): 10.186 10.186 10.186 156.05 156.05 34.13
Fractional positions:
La: 0.000 0.000 0.000
Sb: 0.427 0.427 0.000
Sb: 0.573 0.573 0.000
Te: 0.250 0.750 0.500
Te: 0.750 0.250 0.500

Computed properties:
Polymorph energy (0 for the lowest one)   171 meV per atom

***

The following is a DFT calculation (SCAN) of a PBEsol-optimized structure of HfAg2Mo.

Lattice parameters (Å, degrees): 4.611 4.611 4.611 60.00 60.00 60.00
Fractional positions:
Hf: 0.000 0.000 0.000
Ag: 0.250 0.250 0.250
Ag: 0.750 0.750 0.750
Mo: 0.500 0.500 0.500

Computed properties:
Formation enthalpy at 0 K   515 meV/atom

***

The following is a DFT calculation (SCAN) of a PBEsol-optimized structure of LiLaMo4.

Lattice parameters (Å, degrees): 5.395 5.395 5.395 60.00 60.00 60.00
Fractional positions:
Li: 0.000 0.000 0.000
La: 0.750 0.750 0.750
Mo: 0.375 0.375 0.375
Mo: 0.375 0.375 0.875
Mo: 0.375 0.875 0.375
Mo: 0.875 0.375 0.375

Computed properties:
Formation enthalpy at 0 K   601 meV/atom

***

The following is a DFT calculation (SCAN) of a PBEsol-optimized structure of Ca5Tl3.

Lattice parameters (Å, degrees): 9.440 9.440 6.487 90.00 90.00 120.00
Fractional positions:
Ca: 0.000 0.266 0.250
Ca: 0.000 0.734 0.750
Ca: 0.266 0.000 0.250
Ca: 0.266 0.266 0.750
Ca: 0.333 0.667 0.000
Ca: 0.333 0.667 0.500
Ca: 0.667 0.333 0.000
Ca: 0.667 0.333 0.500
Ca: 0.734 0.000 0.750
Ca: 0.734 0.734 0.250
Tl: 0.000 0.391 0.750
Tl: 0.000 0.609 0.250
Tl: 0.391 0.000 0.750
Tl: 0.391 0.391 0.250
Tl: 0.609 0.000 0.250
Tl: 0.609 0.609 0.750

Computed properties:
Formation enthalpy at 0 K   -521 meV/atom
Polymorph energy (0 for the lowest one)   0 meV per atom

***

no.,N(E_F) (states/eV per atom)
1,0.000
2,0.382
3,0.426
4,0.978
5,1.064
6,0.686